Here is an optimized crystal structure of HoTmZn from Alexandria via LeMat-Bulk. Energies are from GGA-PBE.

The calculation puts the offset from the most stable computed form at 0.0 meV/atom. For the density of states at the Fermi level, the calculation gives 1.366 states/eV/atom. As for the energy relative to the elements: -20.51 kJ/mol of atoms. The total moment is 0.000 μB/f.u. Its crystal system is tetragonal.

abc: 3.5361 3.5361 12.0704
angles: 90.00 90.00 90.00
Fractional coordinates of all 6 atoms:
Ho: 0.0000 0.0000 0.0000
Ho: 0.5000 0.5000 0.5000
Tm: 0.0000 0.0000 0.2886
Tm: 0.5000 0.5000 0.7886
Zn: 0.0000 0.0000 0.6470
Zn: 0.5000 0.5000 0.1470